Record 1
Cu2AgSnCl6: relaxed, GGA-PBE.

Cell lengths 12.8083, 12.0240, 6.8014 Å; angles 90.00, 101.61, 90.00 degrees
Space group C2/c (No. 15)
Symmetry-distinct sites (fractional):
Cu1 0.1852 0.0822 0.2948 x8
Ag1 0.0000 0.1984 0.7500 x4
Sn1 0.0000 0.3971 0.2500 x4
Cl1 0.1175 0.2363 0.1109 x8
Cl2 0.1268 0.4078 0.6422 x8
Cl3 0.1421 0.0737 0.6046 x8

Calculated values
For the uncorrected formation energy, the calculation gives -0.628 eV/atom. The density of states at the Fermi level is 1.022 states/eV per atom.


Record 2
Mn2AgW: relaxed, GGA-PBE.

Cell lengths 2.8318, 2.8318, 26.6772 Å; angles 90.00, 90.00, 120.00 degrees
Space group R-3m (No. 166, hexagonal axes)
Symmetry-distinct sites (fractional):
Mn1 0.0000 0.0000 0.2464 x6
Ag1 0.0000 0.0000 0.0000 x3
W1 0.0000 0.0000 0.5000 x3

Calculated values
The density of states at the Fermi level is 1.074 states/eV per atom. The formation energy is 427 meV/atom. The value obtained for the polymorph energy (0 for the lowest one) is 103.3 meV per atom.


Record 3
NbFe2HgCl: relaxed, GGA-PBE.

Cell lengths 4.8686, 4.8686, 5.4222 Å; angles 90.00, 90.00, 90.00 degrees
Space group P4/mmm (No. 123)
Symmetry-distinct sites (fractional):
Nb1 0.0000 0.0000 0.0000 x1
Fe1 0.0000 0.5000 0.5000 x2
Hg1 0.5000 0.5000 0.5000 x1
Cl1 0.5000 0.5000 0.0000 x1

Calculated values
For the uncorrected formation energy, the calculation gives 1.708 eV/atom. The density of states at the Fermi level is 1.549 states/eV per atom.


Record 4
LiPmDyCu: relaxed, GGA-PBE.

Cell lengths 7.2022, 7.2022, 7.2022 Å; angles 90.00, 90.00, 90.00 degrees
Space group F-43m (No. 216)
Symmetry-distinct sites (fractional):
Li1 0.0000 0.0000 0.0000 x4
Pm1 0.2500 0.2500 0.2500 x4
Dy1 0.2500 0.2500 0.7500 x4
Cu1 0.0000 0.0000 0.5000 x4

Calculated values
The density of states at the Fermi level is 1.187 states/eV per atom. The formation energy is -9 meV/atom.


Record 5
AcSmZn2Ga2: relaxed, GGA-PBE.

Cell lengths 4.5245, 4.5245, 7.9683 Å; angles 90.00, 90.00, 120.00 degrees
Space group P-3m1 (No. 164)
Symmetry-distinct sites (fractional):
Ac1 0.0000 0.0000 0.0000 x1
Sm1 0.0000 0.0000 0.5000 x1
Zn1 0.3333 0.6667 0.2913 x2
Ga1 0.3333 0.6667 0.7188 x2

Calculated values
The density of states at the Fermi level is 0.575 states/eV per atom. The formation energy is -529 meV/atom.


Record 6
SrBe2P: relaxed, GGA-PBE.

Cell lengths 3.7402, 4.3867, 4.6530 Å; angles 90.00, 90.00, 90.00 degrees
Space group Pmmm (No. 47)
Symmetry-distinct sites (fractional):
Sr1 0.0000 0.0000 0.0000 x1
Be1 0.5000 0.2425 0.5000 x2
P1 0.0000 0.5000 0.5000 x1

Calculated values
The density of states at the Fermi level is 0.375 states/eV per atom. The formation energy is -204 meV/atom.


Record 7
P2RuS2: relaxed, GGA-PBE.

Cell lengths 4.6356, 4.6356, 4.4381 Å; angles 90.00, 90.00, 90.00 degrees
Space group P4/mmm (No. 123)
Symmetry-distinct sites (fractional):
P1 0.0000 0.5000 0.0000 x2
Ru1 0.0000 0.0000 0.0000 x1
S1 0.0000 0.0000 0.5000 x1
S2 0.5000 0.5000 0.5000 x1

Calculated values
For the uncorrected formation energy, the calculation gives 0.744 eV/atom. The density of states at the Fermi level is 1.135 states/eV per atom. The value obtained for the polymorph energy (0 for the lowest one) is 0.0 meV per atom.


Record 8
PtPbW2: relaxed, GGA-PBE.

Cell lengths 6.2129, 6.2129, 11.0853 Å; angles 90.00, 90.00, 90.00 degrees
Space group I-42d (No. 122)
Symmetry-distinct sites (fractional):
Pt1 0.0000 0.0000 0.0000 x4
Pb1 0.0000 0.0000 0.5000 x4
W1 0.2064 0.2500 0.1250 x8

Calculated values
The density of states at the Fermi level is 0.674 states/eV per atom. The formation energy is 1684 meV/atom.


Record 9
AlFeRu2: relaxed, GGA-PBE.

Cell lengths 2.7161, 2.7161, 25.2719 Å; angles 90.00, 90.00, 120.00 degrees
Space group R3m (No. 160, hexagonal axes)
Symmetry-distinct sites (fractional):
Al1 0.0000 0.0000 0.0000 x3
Fe1 0.0000 0.0000 0.2526 x3
Ru1 0.0000 0.0000 0.5046 x3
Ru2 0.0000 0.0000 0.7515 x3

Calculated values
The density of states at the Fermi level is 1.322 states/eV per atom. The formation energy is -29 meV/atom.


Record 10
AlCu2PbBr: relaxed, GGA-PBE.

Cell lengths 4.6911, 4.6911, 6.0579 Å; angles 90.00, 90.00, 90.00 degrees
Space group P4/mmm (No. 123)
Symmetry-distinct sites (fractional):
Al1 0.0000 0.0000 0.0000 x1
Cu1 0.0000 0.5000 0.5000 x2
Pb1 0.5000 0.5000 0.0000 x1
Br1 0.5000 0.5000 0.5000 x1

Calculated values
For the uncorrected formation energy, the calculation gives 0.791 eV/atom. The density of states at the Fermi level is 0.532 states/eV per atom.


Record 11
TiBiPCl2: relaxed, GGA-PBE.

Cell lengths 4.6734, 4.6734, 5.3165 Å; angles 90.00, 90.00, 90.00 degrees
Space group P4/mmm (No. 123)
Symmetry-distinct sites (fractional):
Ti1 0.0000 0.0000 0.0000 x1
Bi1 0.5000 0.5000 0.5000 x1
P1 0.0000 0.0000 0.5000 x1
Cl1 0.0000 0.5000 0.0000 x2

Calculated values
For the uncorrected formation energy, the calculation gives -0.413 eV/atom. The density of states at the Fermi level is 0.757 states/eV per atom. The value obtained for the polymorph energy (0 for the lowest one) is 0.0 meV per atom.


Record 12
Cd4SbI2Cl: relaxed, GGA-PBE.

Cell lengths 8.2201, 9.1273, 7.8771 Å; angles 90.00, 90.00, 90.00 degrees
Space group Pmn2_1 (No. 31)
Symmetry-distinct sites (fractional):
Cd1 0.0000 0.0743 0.0000 x2
Cd2 0.0000 0.8265 0.5762 x2
Cd3 0.1699 0.3257 0.4894 x4
Sb1 0.0000 0.7796 0.9215 x2
I1 0.2282 0.3191 0.9135 x4
Cl1 0.0000 0.0387 0.3524 x2

Calculated values
For the uncorrected formation energy, the calculation gives -0.353 eV/atom.